Entry from Alexandria via LeMat-Bulk: LiLa4Cd3 after structural relaxation (PBE-GGA).

Lattice parameters (Å, degrees): 5.5589 5.5585 8.7494 108.47 108.52 90.00
With the nearest neighbours (Å) after each atom.
Fractional positions:
La1 0.6254 0.6253 0.2508  6 Cd 3.38-3.40, 2 Li 3.40
La2 0.1254 0.1254 0.2508  6 Cd 3.39-3.40, 2 Li 3.40
La3 0.8746 0.8746 0.7492  6 Cd 3.39-3.40, 2 Li 3.40
La4 0.3746 0.3747 0.7492  6 Cd 3.38-3.40, 2 Li 3.40
Li1 0.5000 0.0000 0.0000  8 La 3.40
Cd1 0.7490 0.2491 0.4980  8 La 3.38-3.40
Cd2 0.2510 0.7509 0.5020  8 La 3.38-3.40
Cd3 0.0000 0.5000 0.0000  8 La 3.40

Computed properties:
**ΔE_f**: -0.2396 eV per atom
**Spin magnetization**: 0.00 μB/atom

---

Entry from Alexandria via LeMat-Bulk: Li2LaCd after structural relaxation (PBE-GGA).

Lattice parameters (Å, degrees): 5.4430 5.4430 5.7287 78.82 78.82 36.86
With the nearest neighbours (Å) after each atom.
Fractional positions:
Li1 0.0179 0.0179 0.9424  2 Li 2.88, 3 Cd 2.97-3.18
Li2 0.4821 0.4821 0.5576  2 Li 2.88, 3 Cd 2.97-3.18
Cd1 0.7500 0.7500 0.7500  6 Li 2.97-3.18
La1 0.2500 0.2500 0.2500  6 Li 3.25-3.42, 4 Cd 3.34, 2 La 3.44

Computed properties:
**ΔE_f**: -0.0702 eV per atom
**Spin magnetization**: 0.00 μB/atom

---

Entry from Alexandria via LeMat-Bulk: Li5La12Cd3 after structural relaxation (PBE-GGA).

Lattice parameters (Å, degrees): 15.7692 15.7692 15.7692 109.47 109.47 109.47
With the nearest neighbours (Å) after each atom.
Fractional positions:
Cd1 0.8750 0.7500 0.1250  8 La 3.26-3.32
Cd2 0.3750 0.6250 0.2500  8 La 3.26-3.32
Cd3 0.3750 0.7500 0.6250  8 La 3.26-3.32
Cd4 0.1250 0.2500 0.8750  8 La 3.26-3.32
Cd5 0.7500 0.3750 0.1250  8 La 3.26-3.32
Cd6 0.2500 0.1250 0.3750  8 La 3.26-3.32
Cd7 0.2500 0.6250 0.8750  8 La 3.26-3.32
Cd8 0.6250 0.2500 0.3750  8 La 3.26-3.32
Cd9 0.7500 0.8750 0.6250  8 La 3.26-3.32
Cd10 0.8750 0.1250 0.2500  8 La 3.26-3.32
Cd11 0.1250 0.8750 0.7500  8 La 3.26-3.32
Cd12 0.6250 0.3750 0.7500  8 La 3.26-3.32
La1 0.3394 0.7760 0.4174  2 Li 3.06-3.07, 2 Cd 3.26-3.32, 1 La 3.38
La2 0.7760 0.4366 0.3587  2 Li 3.06-3.07, 2 Cd 3.26-3.32, 1 La 3.38
La3 0.5634 0.2240 0.1414  2 Li 3.06-3.07, 2 Cd 3.26-3.32, 1 La 3.38
La4 0.0634 0.4221 0.8394  2 Li 3.06-3.07, 2 Cd 3.26-3.32, 1 La 3.38
La5 0.8394 0.9174 0.2760  2 Li 3.06-3.07, 2 Cd 3.26-3.32, 1 La 3.38
La6 0.1414 0.7240 0.5634  2 Li 3.06-3.07, 2 Cd 3.26-3.32, 1 La 3.38
La7 0.5826 0.7240 0.6606  2 Li 3.06-3.07, 2 Cd 3.26-3.32, 1 La 3.38
La8 0.8394 0.9221 0.0634  2 Li 3.06-3.07, 2 Cd 3.26-3.32, 1 La 3.38
La9 0.7240 0.1414 0.0634  2 Li 3.06-3.07, 2 Cd 3.26-3.32, 1 La 3.38
La10 0.0779 0.9174 0.1414  2 Li 3.06-3.07, 2 Cd 3.26-3.32, 1 La 3.38
La11 0.3394 0.5634 0.4221  2 Li 3.06-3.07, 2 Cd 3.26-3.32, 1 La 3.38
La12 0.4366 0.7760 0.8586  2 Li 3.06-3.07, 2 Cd 3.26-3.32, 1 La 3.38
La13 0.9174 0.8394 0.7760  2 Li 3.06-3.07, 2 Cd 3.26-3.32, 1 La 3.38
La14 0.5634 0.3394 0.9221  2 Li 3.06-3.07, 2 Cd 3.26-3.32, 1 La 3.38
La15 0.4174 0.2760 0.3394  2 Li 3.06-3.07, 2 Cd 3.26-3.32, 1 La 3.38
La16 0.6606 0.4366 0.5779  2 Li 3.06-3.07, 2 Cd 3.26-3.32, 1 La 3.38
La17 0.7760 0.3394 0.9174  2 Li 3.06-3.07, 2 Cd 3.26-3.32, 1 La 3.38
La18 0.7240 0.5826 0.1606  2 Li 3.06-3.07, 2 Cd 3.26-3.32, 1 La 3.38
La19 0.0826 0.1606 0.2240  2 Li 3.06-3.07, 2 Cd 3.26-3.32, 1 La 3.38
La20 0.3587 0.9366 0.7760  2 Li 3.06-3.07, 2 Cd 3.26-3.32, 1 La 3.38
La21 0.6606 0.2240 0.5826  2 Li 3.06-3.07, 2 Cd 3.26-3.32, 1 La 3.38
La22 0.3587 0.4221 0.0826  2 Li 3.06-3.07, 2 Cd 3.26-3.32, 1 La 3.38
La23 0.4366 0.6606 0.0779  2 Li 3.06-3.07, 2 Cd 3.26-3.32, 1 La 3.38
La24 0.1414 0.4174 0.0779  2 Li 3.06-3.07, 2 Cd 3.26-3.32, 1 La 3.38
La25 0.9221 0.8394 0.5634  2 Li 3.06-3.07, 2 Cd 3.26-3.32, 1 La 3.38
La26 0.0634 0.6414 0.7240  2 Li 3.06-3.07, 2 Cd 3.26-3.32, 1 La 3.38
La27 0.2240 0.5634 0.6414  2 Li 3.06-3.07, 2 Cd 3.26-3.32, 1 La 3.38
La28 0.6414 0.5779 0.9174  2 Li 3.06-3.07, 2 Cd 3.26-3.32, 1 La 3.38
La29 0.9366 0.3587 0.2760  2 Li 3.06-3.07, 2 Cd 3.26-3.32, 1 La 3.38
La30 0.1606 0.0779 0.9366  2 Li 3.06-3.07, 2 Cd 3.26-3.32, 1 La 3.38
La31 0.5826 0.8586 0.4221  2 Li 3.06-3.07, 2 Cd 3.26-3.32, 1 La 3.38
La32 0.6414 0.0634 0.2240  2 Li 3.06-3.07, 2 Cd 3.26-3.32, 1 La 3.38
La33 0.1606 0.0826 0.7240  2 Li 3.06-3.07, 2 Cd 3.26-3.32, 1 La 3.38
La34 0.9366 0.5779 0.1606  2 Li 3.06-3.07, 2 Cd 3.26-3.32, 1 La 3.38
La35 0.0826 0.9221 0.3587  2 Li 3.06-3.07, 2 Cd 3.26-3.32, 1 La 3.38
La36 0.5779 0.9366 0.6606  2 Li 3.06-3.07, 2 Cd 3.26-3.32, 1 La 3.38
La37 0.5779 0.6414 0.4174  2 Li 3.06-3.07, 2 Cd 3.26-3.32, 1 La 3.38
La38 0.8586 0.5826 0.9221  2 Li 3.06-3.07, 2 Cd 3.26-3.32, 1 La 3.38
La39 0.8586 0.2760 0.4366  2 Li 3.06-3.07, 2 Cd 3.26-3.32, 1 La 3.38
La40 0.4221 0.0634 0.3394  2 Li 3.06-3.07, 2 Cd 3.26-3.32, 1 La 3.38
La41 0.4221 0.3587 0.5826  2 Li 3.06-3.07, 2 Cd 3.26-3.32, 1 La 3.38
La42 0.2240 0.6606 0.0826  2 Li 3.06-3.07, 2 Cd 3.26-3.32, 1 La 3.38
La43 0.9221 0.0826 0.8586  2 Li 3.06-3.07, 2 Cd 3.26-3.32, 1 La 3.38
La44 0.9174 0.0779 0.6414  2 Li 3.06-3.07, 2 Cd 3.26-3.32, 1 La 3.38
La45 0.4174 0.1414 0.5779  2 Li 3.06-3.07, 2 Cd 3.26-3.32, 1 La 3.38
La46 0.2760 0.4174 0.8394  2 Li 3.06-3.07, 2 Cd 3.26-3.32, 1 La 3.38
La47 0.2760 0.8586 0.9366  2 Li 3.06-3.07, 2 Cd 3.26-3.32, 1 La 3.38
La48 0.0779 0.1606 0.4366  2 Li 3.06-3.07, 2 Cd 3.26-3.32, 1 La 3.38
Li1 0.6250 0.8750 0.2500  4 La 3.07
Li2 0.3750 0.1250 0.7500  4 La 3.07
Li3 0.7500 0.1250 0.8750  4 La 3.07
Li4 0.0000 0.0000 0.0000  6 La 3.06
Li5 0.2500 0.3750 0.6250  4 La 3.07
Li6 0.1250 0.7500 0.3750  4 La 3.07
Li7 0.5000 0.5000 0.0000  6 La 3.06
Li8 0.7500 0.6250 0.3750  4 La 3.07
Li9 0.0000 0.0000 0.5000  6 La 3.06
Li10 0.1250 0.3750 0.2500  4 La 3.07
Li11 0.8750 0.6250 0.7500  4 La 3.07
Li12 0.6250 0.7500 0.8750  4 La 3.07
Li13 0.0000 0.5000 0.5000  6 La 3.06
Li14 0.2500 0.8750 0.1250  4 La 3.07
Li15 0.5000 0.0000 0.0000  6 La 3.06
Li16 0.5000 0.5000 0.5000  6 La 3.06
Li17 0.8750 0.2500 0.6250  4 La 3.07
Li18 0.3750 0.2500 0.1250  4 La 3.07
Li19 0.5000 0.0000 0.5000  6 La 3.06
Li20 0.0000 0.5000 0.0000  6 La 3.06

Computed properties:
**ΔE_f**: 0.4365 eV per atom
**Spin magnetization**: 0.00 μB/atom

---

Entry from Alexandria via LeMat-Bulk: Li3La2Cd3 after structural relaxation (PBE-GGA).

Lattice parameters (Å, degrees): 6.5184 8.9724 8.9724 60.00 90.00 90.00
With the nearest neighbours (Å) after each atom.
Fractional positions:
Li1 0.7500 0.0000 0.2771  2 Cd 2.89
Li2 0.2500 0.0000 0.7229  2 Cd 2.89
Li3 0.2500 0.7229 0.2771  2 Cd 2.89
Li4 0.7500 0.2771 0.7229  2 Cd 2.89
Li5 0.2500 0.2771 0.0000  2 Cd 2.89
Li6 0.7500 0.7229 0.0000  2 Cd 2.89
Cd1 0.2500 0.0000 0.3540  2 Li 2.89
Cd2 0.7500 0.3540 0.0000  2 Li 2.89
Cd3 0.2500 0.3540 0.6460  2 Li 2.89
Cd4 0.2500 0.6460 0.0000  2 Li 2.89
Cd5 0.7500 0.6460 0.3540  2 Li 2.89
Cd6 0.7500 0.0000 0.6460  2 Li 2.89
La1 0.5000 0.6667 0.6667  2 La 3.26, 6 Cd 3.33
La2 0.0000 0.6667 0.6667  2 La 3.26, 6 Cd 3.33
La3 0.0000 0.3333 0.3333  2 La 3.26, 6 Cd 3.33
La4 0.5000 0.3333 0.3333  2 La 3.26, 6 Cd 3.33

Computed properties:
**ΔE_f**: -0.0979 eV per atom
**Spin magnetization**: 0.00 μB/atom

---

Entry from Alexandria via LeMat-Bulk: Li3LaCd after structural relaxation (PBE-GGA).

Lattice parameters (Å, degrees): 5.9119 6.8591 6.8581 119.99 90.01 89.99
With the nearest neighbours (Å) after each atom.
Fractional positions:
Li1 0.2500 0.8061 0.1938  2 Cd 2.74, 2 Li 2.87
Li2 0.2500 0.3877 0.1938  2 Cd 2.74, 2 Li 2.87
Li3 0.7500 0.1939 0.8062  2 Cd 2.74, 2 Li 2.87
Li4 0.7500 0.6123 0.8062  2 Cd 2.74, 2 Li 2.87
Li5 0.7500 0.1939 0.3876  2 Cd 2.74, 2 Li 2.87
Li6 0.2500 0.8061 0.6124  2 Cd 2.74, 2 Li 2.87
La1 0.7500 0.6668 0.3335  12 Li 3.39-3.45
La2 0.2500 0.3332 0.6666  12 Li 3.39-3.44
Cd1 0.5000 0.0000 0.0000  6 Li 2.74, 2 Cd 2.96
Cd2 0.0000 0.0000 0.0000  6 Li 2.74, 2 Cd 2.96

Computed properties:
**Energy above the most stable polymorph in this dataset**: 0 meV per atom
**ΔE_f**: 0.0380 eV per atom
**Spin magnetization**: 0.22 μB/atom

---

Entry from Alexandria via LeMat-Bulk: Li4La5Cd4 after structural relaxation (PBE-GGA).

Lattice parameters (Å, degrees): 5.0105 8.8019 8.8019 85.35 73.46 73.46
With the nearest neighbours (Å) after each atom.
Fractional positions:
La1 0.6977 0.9506 0.6540  5 Cd 3.32-3.48, 2 Li 3.32-3.44, 2 La 3.71
La2 0.6483 0.6540 0.0494  5 Cd 3.32-3.48, 2 Li 3.32-3.44, 2 La 3.71
La3 0.3023 0.0494 0.3460  5 Cd 3.32-3.48, 2 Li 3.32-3.44, 2 La 3.71
La4 0.0000 0.0000 0.0000  4 Cd 3.26
La5 0.3517 0.3460 0.9506  5 Cd 3.32-3.48, 2 Li 3.32-3.44, 2 La 3.71
Cd1 0.9638 0.7655 0.3070  3 Li 2.74-2.91
Cd2 0.2708 0.6930 0.7655  3 Li 2.74-2.91
Cd3 0.7292 0.3070 0.2345  3 Li 2.74-2.91
Cd4 0.0362 0.2345 0.6930  3 Li 2.74-2.91
Li1 0.1055 0.4428 0.3462  3 Cd 2.74-2.91, 1 Li 2.77
Li2 0.8945 0.5572 0.6538  3 Cd 2.74-2.91, 1 Li 2.77
Li3 0.5483 0.3462 0.5572  3 Cd 2.74-2.91, 1 Li 2.77
Li4 0.4517 0.6538 0.4428  3 Cd 2.74-2.91, 1 Li 2.77

Computed properties:
**ΔE_f**: -0.1609 eV per atom
**Spin magnetization**: 0.00 μB/atom